Entry from Alexandria: an optimized crystal structure of P3C (GGA-PBEsol).

Properties
E_form, meV/atom: 1730
Energy above the lowest structure with this stoichiometry, meV per atom: 1148.4
Volume, Å³ per cell: 98.0

Unit cell a=4.6110 b=4.6110 c=4.6110 alpha=90.00 beta=90.00 gamma=90.00
Atoms (fractional coordinates):
P: 0.7500 0.5000 0.0000
P: 0.2500 0.5000 0.0000
P: 0.0000 0.7500 0.5000
P: 0.0000 0.2500 0.5000
P: 0.5000 0.0000 0.2500
P: 0.5000 0.0000 0.7500
C: 0.0000 0.0000 0.0000
C: 0.5000 0.5000 0.5000